The following is a PBE calculation of an optimized crystal structure of AlAgSn, from the Alexandria database.

Unit cell a=3.108 b=4.629 c=9.477 alpha=83.70 beta=86.53 gamma=71.52
Fractional coordinates of all 6 atoms:
Al 0.000 0.000 0.000
Al 0.406 0.065 0.264
Ag 0.303 0.461 0.875
Ag 0.709 0.536 0.134
Sn 0.635 0.952 0.704
Sn 0.700 0.491 0.453

Summary:
DFT formation energy: 0.048 eV/atom
V: 21.41 Å³/atom

The following is a PBE calculation of an optimized crystal structure of Cs2HoMgI6, from the Alexandria database.

Unit cell a=8.737 b=12.361 c=8.737 alpha=90.00 beta=90.00 gamma=90.00
Fractional coordinates of all 20 atoms:
Cs 0.250 0.000 0.250
Cs 0.250 0.500 0.250
Cs 0.750 0.000 0.750
Cs 0.750 0.500 0.750
Ho 0.250 0.250 0.749
Ho 0.750 0.750 0.251
Mg 0.250 0.750 0.751
Mg 0.750 0.250 0.249
I 0.003 0.250 0.994
I 0.005 0.250 0.502
I 0.250 0.004 0.749
I 0.250 0.496 0.749
I 0.495 0.250 0.502
I 0.497 0.250 0.994
I 0.503 0.750 0.006
I 0.505 0.750 0.498
I 0.750 0.504 0.251
I 0.750 0.996 0.251
I 0.995 0.750 0.498
I 0.997 0.750 0.006

Summary:
E_form (uncorrected): -1.2386 eV/atom
V: 47.18 Å³/atom

The following is a PBE calculation of an optimized crystal structure of Mg2SnS4, from the Alexandria database.

Unit cell a=7.592 b=7.592 c=10.699 alpha=90.00 beta=90.00 gamma=90.00
Fractional coordinates of all 28 atoms:
Mg 0.000 0.239 0.000
Mg 0.000 0.761 0.500
Mg 0.239 0.000 0.750
Mg 0.253 0.253 0.375
Mg 0.253 0.747 0.125
Mg 0.747 0.253 0.625
Mg 0.747 0.747 0.875
Mg 0.761 0.000 0.250
Sn 0.236 0.500 0.750
Sn 0.500 0.236 0.000
Sn 0.500 0.764 0.500
Sn 0.764 0.500 0.250
S 0.013 0.251 0.756
S 0.013 0.749 0.744
S 0.251 0.013 0.994
S 0.251 0.987 0.506
S 0.252 0.478 0.992
S 0.252 0.522 0.508
S 0.478 0.252 0.758
S 0.478 0.748 0.742
S 0.522 0.252 0.242
S 0.522 0.748 0.258
S 0.748 0.478 0.008
S 0.748 0.522 0.492
S 0.749 0.013 0.006
S 0.749 0.987 0.494
S 0.987 0.251 0.244
S 0.987 0.749 0.256

Summary:
energy relative to the lowest polymorph listed for this composition: 0.04 eV per formula unit
E_form (uncorrected): -0.9656 eV/atom
V: 22.02 Å³/atom

The following is a PBE calculation of an optimized crystal structure of FeCo, from the Alexandria database.

Unit cell a=2.473 b=2.473 c=3.987 alpha=90.00 beta=90.00 gamma=110.08
Fractional coordinates of all 2 atoms:
Fe 0.000 0.000 0.000
Co 0.500 0.500 0.500

Summary:
DFT formation energy: -0.009 eV/atom
V: 11.45 Å³/atom

The lowest V belongs to which entry?
FeCo

Repeat the third record exactly.
The following is a PBE calculation of an optimized crystal structure of Mg2SnS4, from the Alexandria database.

Unit cell a=7.592 b=7.592 c=10.699 alpha=90.00 beta=90.00 gamma=90.00
Fractional coordinates of all 28 atoms:
Mg 0.000 0.239 0.000
Mg 0.000 0.761 0.500
Mg 0.239 0.000 0.750
Mg 0.253 0.253 0.375
Mg 0.253 0.747 0.125
Mg 0.747 0.253 0.625
Mg 0.747 0.747 0.875
Mg 0.761 0.000 0.250
Sn 0.236 0.500 0.750
Sn 0.500 0.236 0.000
Sn 0.500 0.764 0.500
Sn 0.764 0.500 0.250
S 0.013 0.251 0.756
S 0.013 0.749 0.744
S 0.251 0.013 0.994
S 0.251 0.987 0.506
S 0.252 0.478 0.992
S 0.252 0.522 0.508
S 0.478 0.252 0.758
S 0.478 0.748 0.742
S 0.522 0.252 0.242
S 0.522 0.748 0.258
S 0.748 0.478 0.008
S 0.748 0.522 0.492
S 0.749 0.013 0.006
S 0.749 0.987 0.494
S 0.987 0.251 0.244
S 0.987 0.749 0.256

Summary:
energy relative to the lowest polymorph listed for this composition: 0.04 eV per formula unit
E_form (uncorrected): -0.9656 eV/atom
V: 22.02 Å³/atom